DFT (GGA-PBE) results for an optimized crystal structure of SrCa2Tl.

Output
The space group is No. 166. As for the density of states at the Fermi level: 0.6835 states/eV per atom. For the spin magnetization, the calculation gives 0.00 μB per cell. As for the energy of formation from the pure elements: -53 kJ/mol of formula units. As for the raw total energy: -8.60 eV per formula unit.

a b c (Å): 12.046 12.046 12.046
angles (deg): 18.82 18.82 18.82
Fractional coordinates of all 4 atoms:
Ca 0.014 0.014 0.014
Ca 0.486 0.486 0.486
Tl 0.750 0.750 0.750
Sr 0.250 0.250 0.250